# LiCa3Pd2 PBE optimized geometry
data_LiCa3Pd2
_space_group_name_H-M_alt 'P 1'
_space_group_IT_number 1
_space_group_name_Hall 'P 1'
_cell_length_a 7.539
_cell_length_b 7.539
_cell_length_c 7.539
_cell_angle_alpha 62.53
_cell_angle_beta 62.53
_cell_angle_gamma 62.53
loop_
_atom_site_label
_atom_site_type_symbol
_atom_site_fract_x
_atom_site_fract_y
_atom_site_fract_z
_atom_site_occupancy
Li1 Li 0.000 0.000 0.000 1
Li2 Li 0.500 0.500 0.500 1
Ca1 Ca 0.034 0.750 0.466 1
Ca2 Ca 0.250 0.534 0.966 1
Ca3 Ca 0.466 0.034 0.750 1
Ca4 Ca 0.534 0.966 0.250 1
Ca5 Ca 0.750 0.466 0.034 1
Ca6 Ca 0.966 0.250 0.534 1
Pd1 Pd 0.141 0.141 0.141 1
Pd2 Pd 0.359 0.359 0.359 1
Pd3 Pd 0.641 0.641 0.641 1
Pd4 Pd 0.859 0.859 0.859 1
# Formation energy: -433 meV/atom
# Electronic total energy: -3.48 eV per atom
# Spin magnetization: 0.000 μB/f.u.
# N(E_F): 3.881 states/eV per cell



# K2NbZnS4 PBE optimized geometry
data_K2NbZnS4
_space_group_name_H-M_alt 'P 1'
_space_group_IT_number 1
_space_group_name_Hall 'P 1'
_cell_length_a 7.023
_cell_length_b 7.023
_cell_length_c 9.168
_cell_angle_alpha 90.00
_cell_angle_beta 90.00
_cell_angle_gamma 90.00
loop_
_atom_site_label
_atom_site_type_symbol
_atom_site_fract_x
_atom_site_fract_y
_atom_site_fract_z
_atom_site_occupancy
K1 K 0.000 0.000 0.000 1
K2 K 0.000 0.500 0.250 1
K3 K 0.500 0.000 0.750 1
K4 K 0.500 0.500 0.500 1
Nb1 Nb 0.000 0.500 0.750 1
Nb2 Nb 0.500 0.000 0.250 1
Zn1 Zn 0.000 0.000 0.500 1
Zn2 Zn 0.500 0.500 0.000 1
S1 S 0.154 0.739 0.616 1
S2 S 0.239 0.346 0.884 1
S3 S 0.261 0.154 0.384 1
S4 S 0.346 0.761 0.116 1
S5 S 0.654 0.239 0.116 1
S6 S 0.739 0.846 0.384 1
S7 S 0.761 0.654 0.884 1
S8 S 0.846 0.261 0.616 1
# Electronic total energy: -4.72 eV per atom
# Raw formation energy: -0.97 eV per atom
# Spin magnetization: 0.866 μB/f.u.
# N(E_F): 5.987 states/eV per cell



# Rb3Ce3HfO8 PBE optimized geometry
data_Rb3Ce3HfO8
_space_group_name_H-M_alt 'P 1'
_space_group_IT_number 1
_space_group_name_Hall 'P 1'
_cell_length_a 7.832
_cell_length_b 7.832
_cell_length_c 7.832
_cell_angle_alpha 53.96
_cell_angle_beta 53.96
_cell_angle_gamma 53.96
loop_
_atom_site_label
_atom_site_type_symbol
_atom_site_fract_x
_atom_site_fract_y
_atom_site_fract_z
_atom_site_occupancy
Rb1 Rb 0.000 0.500 0.500 1
Rb2 Rb 0.500 0.000 0.500 1
Rb3 Rb 0.500 0.500 0.000 1
Ce1 Ce 0.000 0.000 0.500 1
Ce2 Ce 0.000 0.500 0.000 1
Ce3 Ce 0.500 0.000 0.000 1
Hf1 Hf 0.500 0.500 0.500 1
O1 O 0.227 0.227 0.227 1
O2 O 0.256 0.704 0.704 1
O3 O 0.296 0.296 0.744 1
O4 O 0.296 0.744 0.296 1
O5 O 0.704 0.256 0.704 1
O6 O 0.704 0.704 0.256 1
O7 O 0.744 0.296 0.296 1
O8 O 0.773 0.773 0.773 1
# Electronic total energy: -7.44 eV per atom
# Raw formation energy: -2.75 eV per atom
# Spin magnetization: 3.000 μB/f.u.
# N(E_F): 11.072 states/eV per cell



# Ta2NbIn2Se6 PBE optimized geometry
data_Ta2NbIn2Se6
_space_group_name_H-M_alt 'P 1'
_space_group_IT_number 1
_space_group_name_Hall 'P 1'
_cell_length_a 6.205
_cell_length_b 6.205
_cell_length_c 8.831
_cell_angle_alpha 96.05
_cell_angle_beta 96.05
_cell_angle_gamma 121.45
loop_
_atom_site_label
_atom_site_type_symbol
_atom_site_fract_x
_atom_site_fract_y
_atom_site_fract_z
_atom_site_occupancy
Ta1 Ta 0.135 0.865 0.000 1
Ta2 Ta 0.865 0.135 0.000 1
Nb1 Nb 0.500 0.500 0.000 1
In1 In 0.219 0.781 0.500 1
In2 In 0.781 0.219 0.500 1
Se1 Se 0.112 0.112 0.787 1
Se2 Se 0.217 0.564 0.178 1
Se3 Se 0.436 0.783 0.822 1
Se4 Se 0.564 0.217 0.178 1
Se5 Se 0.783 0.436 0.822 1
Se6 Se 0.888 0.888 0.213 1
# Electronic total energy: -6.10 eV per atom
# Raw formation energy: -0.63 eV per atom
# Spin magnetization: 0.000 μB/f.u.
# N(E_F): 5.327 states/eV per cell



# Tm7Mg3Ge8 PBE optimized geometry
data_Tm7Mg3Ge8
_space_group_name_H-M_alt 'P 1'
_space_group_IT_number 1
_space_group_name_Hall 'P 1'
_cell_length_a 7.672
_cell_length_b 7.056
_cell_length_c 14.350
_cell_angle_alpha 90.00
_cell_angle_beta 90.02
_cell_angle_gamma 90.00
loop_
_atom_site_label
_atom_site_type_symbol
_atom_site_fract_x
_atom_site_fract_y
_atom_site_fract_z
_atom_site_occupancy
Tm1 Tm 0.066 0.000 0.153 1
Tm2 Tm 0.066 0.998 0.846 1
Tm3 Tm 0.074 0.323 0.626 1
Tm4 Tm 0.075 0.324 0.375 1
Tm5 Tm 0.429 0.660 0.879 1
Tm6 Tm 0.433 0.984 0.342 1
Tm7 Tm 0.434 0.987 0.659 1
Tm8 Tm 0.566 0.487 0.341 1
Tm9 Tm 0.567 0.484 0.658 1
Tm10 Tm 0.571 0.160 0.121 1
Tm11 Tm 0.925 0.824 0.625 1
Tm12 Tm 0.926 0.823 0.374 1
Tm13 Tm 0.934 0.498 0.154 1
Tm14 Tm 0.934 0.500 0.847 1
Mg1 Mg 0.237 0.333 0.001 1
Mg2 Mg 0.268 0.654 0.500 1
Mg3 Mg 0.423 0.667 0.125 1
Mg4 Mg 0.577 0.167 0.875 1
Mg5 Mg 0.732 0.154 0.500 1
Mg6 Mg 0.763 0.833 0.999 1
Ge1 Ge 0.108 0.703 0.000 1
Ge2 Ge 0.159 0.017 0.500 1
Ge3 Ge 0.216 0.665 0.715 1
Ge4 Ge 0.217 0.664 0.284 1
Ge5 Ge 0.285 0.321 0.212 1
Ge6 Ge 0.286 0.318 0.790 1
Ge7 Ge 0.345 0.965 0.999 1
Ge8 Ge 0.390 0.283 0.500 1
Ge9 Ge 0.610 0.783 0.500 1
Ge10 Ge 0.655 0.465 0.001 1
Ge11 Ge 0.714 0.818 0.210 1
Ge12 Ge 0.715 0.821 0.788 1
Ge13 Ge 0.783 0.164 0.716 1
Ge14 Ge 0.784 0.165 0.285 1
Ge15 Ge 0.841 0.517 0.500 1
Ge16 Ge 0.892 0.203 0.000 1
# Formation energy: -720 meV/atom
# Electronic total energy: -4.78 eV per atom
# Spin magnetization: 0.000 μB/f.u.
# N(E_F): 15.171 states/eV per cell



# PmPr3Tm3 PBE optimized geometry
data_PmPr3Tm3
_space_group_name_H-M_alt 'P 1'
_space_group_IT_number 1
_space_group_name_Hall 'P 1'
_cell_length_a 8.269
_cell_length_b 8.269
_cell_length_c 8.269
_cell_angle_alpha 69.28
_cell_angle_beta 69.28
_cell_angle_gamma 69.28
loop_
_atom_site_label
_atom_site_type_symbol
_atom_site_fract_x
_atom_site_fract_y
_atom_site_fract_z
_atom_site_occupancy
Pm1 Pm 0.091 0.091 0.091 1
Pm2 Pm 0.909 0.909 0.909 1
Pr1 Pr 0.230 0.665 0.372 1
Pr2 Pr 0.335 0.628 0.770 1
Pr3 Pr 0.372 0.230 0.665 1
Pr4 Pr 0.628 0.770 0.335 1
Pr5 Pr 0.665 0.372 0.230 1
Pr6 Pr 0.770 0.335 0.628 1
Tm1 Tm 0.054 0.475 0.190 1
Tm2 Tm 0.190 0.054 0.475 1
Tm3 Tm 0.475 0.190 0.054 1
Tm4 Tm 0.525 0.810 0.946 1
Tm5 Tm 0.810 0.946 0.525 1
Tm6 Tm 0.946 0.525 0.810 1
# Formation energy: 132 meV/atom
# Electronic total energy: -4.51 eV per atom
# Spin magnetization: 0.000 μB/f.u.
# N(E_F): 18.818 states/eV per cell



# Nd3Ga4Si4 PBE optimized geometry
data_Nd3Ga4Si4
_space_group_name_H-M_alt 'P 1'
_space_group_IT_number 1
_space_group_name_Hall 'P 1'
_cell_length_a 4.149
_cell_length_b 4.256
_cell_length_c 13.221
_cell_angle_alpha 92.28
_cell_angle_beta 99.00
_cell_angle_gamma 90.08
loop_
_atom_site_label
_atom_site_type_symbol
_atom_site_fract_x
_atom_site_fract_y
_atom_site_fract_z
_atom_site_occupancy
Nd1 Nd 0.000 0.000 0.000 1
Nd2 Nd 0.362 0.968 0.723 1
Nd3 Nd 0.638 0.032 0.277 1
Ga1 Ga 0.093 0.491 0.186 1
Ga2 Ga 0.250 0.194 0.499 1
Ga3 Ga 0.750 0.806 0.501 1
Ga4 Ga 0.907 0.509 0.814 1
Si1 Si 0.183 0.596 0.369 1
Si2 Si 0.455 0.467 0.910 1
Si3 Si 0.545 0.533 0.090 1
Si4 Si 0.817 0.404 0.631 1
# Electronic total energy: -4.87 eV per atom
# Raw formation energy: -0.50 eV per atom
# Spin magnetization: 0.000 μB/f.u.
# N(E_F): 2.314 states/eV per cell



# Dy2ErCu4 PBE optimized geometry
data_Dy2ErCu4
_space_group_name_H-M_alt 'P 1'
_space_group_IT_number 1
_space_group_name_Hall 'P 1'
_cell_length_a 5.076
_cell_length_b 5.076
_cell_length_c 11.460
_cell_angle_alpha 90.00
_cell_angle_beta 90.00
_cell_angle_gamma 90.00
loop_
_atom_site_label
_atom_site_type_symbol
_atom_site_fract_x
_atom_site_fract_y
_atom_site_fract_z
_atom_site_occupancy
Dy1 Dy 0.000 0.000 0.212 1
Dy2 Dy 0.000 0.000 0.788 1
Dy3 Dy 0.500 0.500 0.288 1
Dy4 Dy 0.500 0.500 0.712 1
Er1 Er 0.000 0.000 0.500 1
Er2 Er 0.500 0.500 0.000 1
Cu1 Cu 0.000 0.500 0.116 1
Cu2 Cu 0.000 0.500 0.384 1
Cu3 Cu 0.000 0.500 0.616 1
Cu4 Cu 0.000 0.500 0.884 1
Cu5 Cu 0.500 0.000 0.116 1
Cu6 Cu 0.500 0.000 0.384 1
Cu7 Cu 0.500 0.000 0.616 1
Cu8 Cu 0.500 0.000 0.884 1
# Formation energy: -24 meV/atom
# Electronic total energy: -4.33 eV per atom
# Spin magnetization: 0.000 μB/f.u.
# N(E_F): 11.837 states/eV per cell